Here is a geometry-optimized TaTe2SeI structure from the Alexandria database. Energies are from GGA-PBEsol.

Lattice parameters (Å, degrees): 5.335 5.335 5.300 90.00 90.00 90.00
Last column: magnetic moment on the atom in μB.
Positions (direct):
I 0.000 0.000 0.500  -0.05
Te 0.000 0.500 0.000  -0.15
Te 0.500 0.000 0.000  -0.15
Se 0.000 0.000 0.000  -0.02
Ta 0.500 0.500 0.500  1.91

Calculated values
Final energy in eV per atom: -3.7753


Here is a geometry-optimized Te2Se2I structure from the Alexandria database. Energies are from GGA-PBEsol.

Lattice parameters (Å, degrees): 5.272 5.272 6.738 113.03 113.03 90.00
Positions (direct):
I 0.000 0.000 0.000
Te 0.250 0.750 0.500
Te 0.750 0.250 0.500
Se 0.335 0.335 0.669
Se 0.665 0.665 0.331

Calculated values
Final energy in eV per atom: -3.1255


Here is a geometry-optimized Ti3SeI structure from the Alexandria database. Energies are from GGA-PBEsol.

Lattice parameters (Å, degrees): 4.725 4.725 4.725 90.00 90.00 90.00
Last column: magnetic moment on the atom in μB.
Positions (direct):
I 0.500 0.500 0.500  0.02
Se 0.000 0.000 0.000  -0.01
Ti 0.000 0.500 0.000  0.47
Ti 0.000 0.000 0.500  0.47
Ti 0.500 0.000 0.000  0.47

Calculated values
Final energy in eV per atom: -5.9179


Here are the calculated magnetic moment numbers, same order: 2.392, 0.000, 1.923 (μB/f.u.).
Here are the calculated formation energy from raw total energies numbers, same order: 1.269, 0.178, 0.199 (eV/atom).